# 1
Sm6Tl3Ga: relaxed, PBE-GGA.

```
Sm6Tl3Ga
1.0
3.749 0.000 0.000
0.000 11.758 -0.036
0.000 -3.979 13.833
Sm Tl Ga
12 6 2
direct
0.750 0.505 0.677
0.250 0.495 0.323
0.750 0.868 0.137
0.250 0.132 0.863
0.750 0.396 0.086
0.250 0.604 0.914
0.750 0.749 0.332
0.250 0.251 0.668
0.750 0.116 0.456
0.250 0.884 0.544
0.750 0.827 0.760
0.250 0.173 0.240
0.750 0.374 0.858
0.250 0.626 0.142
0.750 0.644 0.518
0.250 0.356 0.482
0.750 0.111 0.047
0.250 0.889 0.953
0.750 0.043 0.682
0.250 0.957 0.318
```

Computed properties:
* density of states at the Fermi level: 1.02 states/eV per atom
* magnetization: 0.001 μB/f.u.
* energy of formation from the pure elements: -2.4 eV per formula unit

***

# 2
HfReOs2: relaxed, PBE-GGA.

```
HfReOs2
1.0
-2.375 -4.571 2.813
1.702 -3.559 -4.345
4.578 -4.974 1.904
Re Hf Os
2 2 4
direct
0.000 0.000 0.000
0.750 0.250 0.500
0.500 0.500 0.000
0.250 0.750 0.500
0.658 0.125 0.250
0.092 0.625 0.250
0.375 0.342 0.750
0.875 0.908 0.750
```

Computed properties:
* density of states at the Fermi level: 1.17 states/eV per atom
* magnetization: 0.000 μB/f.u.
* energy of formation from the pure elements: 5.1 eV per formula unit
* energy relative to the lowest polymorph listed for this composition: 1.1588 eV/atom